Entry 1:
Crystalline InTc2Se at its relaxed geometry. Source: Alexandria via LeMat-Bulk, functional PBE.

Calculated values
Formation energy without anion corrections = 601 meV per atom
Relative energy among the computed polymorphs = 0.530 eV per atom
DOS at the Fermi energy = 1.234 states/eV/atom

POSCAR file:
```
InTc2Se
1.0
-2.7025 0.6624 1.4756
-1.9840 -4.1165 -1.7857
1.4138 -2.2410 3.5953
Tc In Se
2 1 1
Cartesian
0.0000 0.0000 0.0000 Tc
-2.3433 -1.7270 -0.1550 Tc
-0.6444 -0.7893 2.5355 In
-0.2851 -3.1787 0.9048 Se
```

Entry 2:
Crystalline NaAg3Ir at its relaxed geometry. Source: Alexandria via LeMat-Bulk, functional PBE.

Calculated values
Relative energy among the computed polymorphs = 0.591 eV per atom
DOS at the Fermi energy = 0.620 states/eV/atom
Calculated formation energy = 6.8 eV per formula unit

POSCAR file:
```
NaAg3Ir
1.0
4.6492 0.0000 0.0000
0.0000 4.6492 0.0000
0.0000 0.0000 4.6492
Ag Na Ir
3 1 1
Cartesian
2.3246 0.0000 0.0000 Ag
0.0000 0.0000 2.3246 Ag
0.0000 2.3246 0.0000 Ag
0.0000 0.0000 0.0000 Na
2.3246 2.3246 2.3246 Ir
```